(1)
Crystalline NpScPt6 at its relaxed geometry, computed with GGA-PBE.

Calculated values
DOS(E_F) in states/eV/f.u.: 15.22
Space-group type: P4/mmm
ΔH_f (0 K) in eV/atom: -0.8326

a b c (Å): 4.0753 4.0753 8.1874
angles (deg): 90.00 90.00 90.00
Each line ends with the local moment (μB).
Positions (direct):
Pt 0.0000 0.5000 0.7428  -0.05
Pt 0.5000 0.5000 0.0000  -0.07
Pt 0.5000 0.0000 0.2572  -0.05
Pt 0.0000 0.5000 0.2572  -0.05
Pt 0.5000 0.5000 0.5000  -0.05
Pt 0.5000 0.0000 0.7428  -0.05
Sc 0.0000 0.0000 0.5000  0.01
Np 0.0000 0.0000 0.0000  3.11

***

(2)
Crystalline Zn2SiMo at its relaxed geometry, computed with GGA-PBE.

Calculated values
Formation energy from raw total energies in eV/atom: -0.02
DOS(E_F) in states/eV/f.u.: 1.39
Space-group type: P4mm

a b c (Å): 3.2845 3.2845 5.4687
angles (deg): 90.00 90.00 90.00
Positions (direct):
Mo 0.0000 0.0000 0.5244
Si 0.5000 0.5000 0.7236
Zn 0.0000 0.0000 0.0114
Zn 0.5000 0.5000 0.2406